A PBEsol-optimized structure of SrTl2Hg, computed with SCAN.

The structure belongs to space group I-4m2 (No. 119); the cell edges are 5.410, 5.410 and 7.512 Å and the angles 90.00°, 90.00° and 90.00°. Symmetry generates all atoms from Sr at (0.000, 0.000, 0.000), Tl at (0.000, 0.000, 0.500), Tl at (0.000, 0.500, 0.750) and Hg at (0.000, 0.500, 0.250).

The density comes out at 10529 kg/m3. Its formation energy is -402 meV per atom. For the calculated total energy, the calculation gives -59.19 eV per atom.